1.
Here is crystalline CaScGaCu at its relaxed geometry from the Alexandria database. Energies are from PBE.

a b c (Å): 4.8850 4.8850 4.8850
angles (deg): 60.00 60.00 60.00
Fractional coordinates of all 4 atoms:
Sc  0.5000  0.5000  0.5000
Ga  0.7500  0.7500  0.7500
Cu  0.2500  0.2500  0.2500
Ca  0.0000  0.0000  0.0000

Computed properties:
Formation energy from the elements   -0.285 eV per atom

=====

2.
Here is crystalline LaSc2Si at its relaxed geometry from the Alexandria database. Energies are from PBE.

a b c (Å): 5.6245 5.6245 5.6245
angles (deg): 133.61 133.61 67.70
Fractional coordinates of all 4 atoms:
Si  0.5000  0.5000  0.0000
Sc  0.2500  0.7500  0.5000
La  0.7500  0.2500  0.5000
Sc  0.0000  0.0000  0.0000

Computed properties:
Total energy   -5.97 eV/atom

=====

3.
Here is crystalline Mn3Te5 at its relaxed geometry from the Alexandria database. Energies are from PBE.

a b c (Å): 7.8586 7.8586 7.8373
angles (deg): 90.00 90.00 120.00
Fractional coordinates of all 16 atoms:
Mn  0.4009  0.0000  0.7500
Te  0.7426  0.7426  0.2500
Mn  0.0000  0.4009  0.7500
Te  0.6667  0.3333  0.5000
Mn  0.5991  0.0000  0.2500
Mn  0.0000  0.5991  0.2500
Mn  0.5991  0.5991  0.7500
Te  0.3333  0.6667  0.0000
Te  0.7426  0.0000  0.7500
Te  0.0000  0.2574  0.2500
Te  0.2574  0.0000  0.2500
Te  0.6667  0.3333  0.0000
Te  0.3333  0.6667  0.5000
Te  0.2574  0.2574  0.7500
Te  0.0000  0.7426  0.7500
Mn  0.4009  0.4009  0.2500

Computed properties:
Total energy   -5.26 eV/atom

=====

4.
Here is crystalline Li5Pm2Cu12 at its relaxed geometry from the Alexandria database. Energies are from PBE.

a b c (Å): 6.5703 6.5703 6.5703
angles (deg): 82.68 82.68 82.68
Fractional coordinates of all 19 atoms:
Cu  0.8399  0.3426  0.3426
Li  0.9087  0.9087  0.9087
Li  0.0000  0.0000  0.5000
Pm  0.3528  0.3528  0.3528
Cu  0.3017  0.6983  0.0000
Cu  0.6983  0.3017  0.0000
Cu  0.3426  0.3426  0.8399
Cu  0.3017  0.0000  0.6983
Li  0.5000  0.0000  0.0000
Cu  0.6574  0.1601  0.6574
Li  0.0913  0.0913  0.0913
Cu  0.1601  0.6574  0.6574
Cu  0.6983  0.0000  0.3017
Cu  0.0000  0.6983  0.3017
Cu  0.3426  0.8399  0.3426
Cu  0.6574  0.6574  0.1601
Li  0.0000  0.5000  0.0000
Pm  0.6472  0.6472  0.6472
Cu  0.0000  0.3017  0.6983

Computed properties:
Formation energy from the elements   -0.103 eV per atom

=====

5.
Here is crystalline La2BeAs at its relaxed geometry from the Alexandria database. Energies are from PBE.

a b c (Å): 6.0646 6.0646 3.9324
angles (deg): 89.97 89.97 43.08
Fractional coordinates of all 4 atoms:
La  0.0187  0.0187  0.1245
Be  0.3162  0.3162  0.1253
As  0.4351  0.4351  0.6248
La  0.7300  0.7300  0.6254

Computed properties:
Formation energy from the elements   -0.647 eV per atom
E above lowest polymorph   0.0 meV/atom

=====

6.
Here is crystalline SrCd2Ga at its relaxed geometry from the Alexandria database. Energies are from PBE.

a b c (Å): 4.9867 4.6193 4.6193
angles (deg): 90.00 90.00 90.00
Fractional coordinates of all 4 atoms:
Ga  0.5000  0.5000  0.5000
Cd  0.0000  0.5000  0.0000
Sr  0.5000  0.0000  0.0000
Cd  0.0000  0.0000  0.5000

Computed properties:
Formation energy from the elements   -0.182 eV per atom

=====

7.
Here is crystalline TlCd5 at its relaxed geometry from the Alexandria database. Energies are from PBE.

a b c (Å): 7.2965 7.2965 4.5314
angles (deg): 90.00 90.00 143.07
Fractional coordinates of all 6 atoms:
Cd  0.1444  0.8556  0.5000
Cd  0.4725  0.5275  0.5000
Cd  0.7999  0.2001  0.5000
Cd  0.6440  0.3560  0.0000
Tl  0.9721  0.0279  0.0000
Cd  0.3005  0.6995  0.0000

Computed properties:
Formation energy from the elements   0.040 eV per atom
E above lowest polymorph   21.0 meV/atom

=====

8.
Here is crystalline Na2Li2Ca3Hg4 at its relaxed geometry from the Alexandria database. Energies are from PBE.

a b c (Å): 4.9744 4.9744 14.2391
angles (deg): 90.00 90.00 120.00
Fractional coordinates of all 11 atoms:
Hg  0.6667  0.3333  0.6616
Na  0.6667  0.3333  0.4330
Ca  0.0000  0.0000  0.0000
Ca  0.0000  0.0000  0.2538
Na  0.3333  0.6667  0.5670
Hg  0.3333  0.6667  0.3384
Ca  0.0000  0.0000  0.7462
Hg  0.3333  0.6667  0.8723
Li  0.3333  0.6667  0.1220
Li  0.6667  0.3333  0.8780
Hg  0.6667  0.3333  0.1277

Computed properties:
Formation energy from the elements   -0.308 eV per atom

=====

9.
Here is crystalline NdY12Tm7 at its relaxed geometry from the Alexandria database. Energies are from PBE.

a b c (Å): 8.6813 8.6813 8.6813
angles (deg): 95.32 95.32 95.32
Fractional coordinates of all 20 atoms:
Tm  0.3511  0.0169  0.0805
Tm  0.9195  0.6489  0.9831
Y  0.7506  0.3169  0.1885
Tm  0.5000  0.5000  0.5000
Y  0.8115  0.2494  0.6831
Y  0.6831  0.8115  0.2494
Y  0.4746  0.1468  0.4135
Y  0.1468  0.4135  0.4746
Nd  0.0000  0.0000  0.0000
Y  0.8532  0.5865  0.5254
Y  0.1885  0.7506  0.3169
Tm  0.9831  0.9195  0.6489
Tm  0.6489  0.9831  0.9195
Tm  0.0169  0.0805  0.3511
Y  0.5865  0.5254  0.8532
Y  0.2494  0.6831  0.8115
Y  0.4135  0.4746  0.1468
Y  0.5254  0.8532  0.5865
Y  0.3169  0.1885  0.7506
Tm  0.0805  0.3511  0.0169

Computed properties:
Formation energy from the elements   0.296 eV per atom
E above lowest polymorph   0.0 meV/atom

=====

10.
Here is crystalline In3HgC at its relaxed geometry from the Alexandria database. Energies are from PBE.

a b c (Å): 4.8622 4.8622 4.8622
angles (deg): 90.00 90.00 90.00
Fractional coordinates of all 5 atoms:
In  0.0000  0.5000  0.0000
C  0.0000  0.0000  0.0000
In  0.5000  0.0000  0.0000
In  0.0000  0.0000  0.5000
Hg  0.5000  0.5000  0.5000

Computed properties:
Formation energy from the elements   0.738 eV per atom
E above lowest polymorph   0.0 meV/atom

=====

11.
Here is crystalline NdHoSiGe at its relaxed geometry from the Alexandria database. Energies are from PBE.

a b c (Å): 4.3741 3.9510 5.8331
angles (deg): 90.00 112.02 90.00
Fractional coordinates of all 4 atoms:
Si  0.4194  0.0000  0.8388
Ge  0.5771  0.5000  0.1542
Nd  0.1408  0.0000  0.2816
Ho  0.8627  0.5000  0.7253

Computed properties:
Total energy   -5.65 eV/atom

=====

12.
Here is crystalline CdCu2W at its relaxed geometry from the Alexandria database. Energies are from PBE.

a b c (Å): 6.7847 4.7466 2.7001
angles (deg): 89.95 66.62 127.00
Fractional coordinates of all 4 atoms:
Cd  0.5000  0.5000  0.0000
W  0.0000  0.5000  0.5000
Cu  0.5000  0.0000  0.5000
Cu  0.0000  0.0000  0.0000

Computed properties:
Formation energy from the elements   0.445 eV per atom

=====

13.
Here is crystalline CeU2Re at its relaxed geometry from the Alexandria database. Energies are from PBE.

a b c (Å): 3.6054 3.6054 6.7984
angles (deg): 90.00 90.00 90.00
Fractional coordinates of all 4 atoms:
U  0.0000  0.0000  0.8050
U  0.0000  0.0000  0.1950
Re  0.5000  0.5000  0.0000
Ce  0.5000  0.5000  0.5000

Computed properties:
Formation energy from the elements   0.261 eV per atom
E above lowest polymorph   0.0 meV/atom

=====

14.
Here is crystalline MgTaSi2 at its relaxed geometry from the Alexandria database. Energies are from PBE.

a b c (Å): 3.5105 4.2844 4.2844
angles (deg): 90.00 90.00 90.00
Fractional coordinates of all 4 atoms:
Mg  0.5000  0.0000  0.5000
Ta  0.5000  0.5000  0.0000
Si  0.0000  0.5000  0.5000
Si  0.0000  0.0000  0.0000

Computed properties:
Total energy   -5.98 eV/atom

=====

15.
Here is crystalline UTaO5 at its relaxed geometry from the Alexandria database. Energies are from PBE.

a b c (Å): 5.5105 5.5105 7.6439
angles (deg): 69.72 69.72 72.68
Fractional coordinates of all 14 atoms:
O  0.2895  0.6902  0.4652
O  0.6902  0.2895  0.9652
Ta  0.0000  0.0000  0.5000
Ta  0.0000  0.0000  0.0000
O  0.2262  0.2749  0.8714
O  0.3098  0.7105  0.0348
O  0.7738  0.7251  0.1286
O  0.2749  0.2262  0.3714
U  0.4634  0.5366  0.7500
O  0.7105  0.3098  0.5348
O  0.7251  0.7738  0.6286
O  0.9230  0.0770  0.2500
O  0.0770  0.9230  0.7500
U  0.5366  0.4634  0.2500

Computed properties:
Total energy   -9.90 eV/atom

=====

16.
Here is crystalline HgSb2I2 at its relaxed geometry from the Alexandria database. Energies are from PBE.

a b c (Å): 7.8115 7.8115 5.2971
angles (deg): 90.00 90.00 90.00
Fractional coordinates of all 10 atoms:
I  0.3138  0.1862  0.5000
Sb  0.1376  0.3624  0.0000
Sb  0.8624  0.6376  0.0000
Sb  0.6376  0.1376  0.0000
I  0.8138  0.3138  0.5000
I  0.6862  0.8138  0.5000
Hg  0.5000  0.5000  0.0000
Sb  0.3624  0.8624  0.0000
Hg  0.0000  0.0000  0.0000
I  0.1862  0.6862  0.5000

Computed properties:
E above lowest polymorph   6.9 meV/atom

=====

17.
Here is crystalline Ti2CuSi2 at its relaxed geometry from the Alexandria database. Energies are from PBE.

a b c (Å): 3.7206 5.1517 8.2903
angles (deg): 89.46 77.03 68.83
Fractional coordinates of all 10 atoms:
Si  0.3563  0.1768  0.1106
Cu  0.3634  0.9271  0.3460
Ti  0.0882  0.7213  0.1024
Si  0.9311  0.7070  0.4308
Cu  0.6366  0.0729  0.6540
Ti  0.9118  0.2787  0.8976
Ti  0.6672  0.3430  0.3226
Si  0.0689  0.2930  0.5692
Si  0.6437  0.8232  0.8894
Ti  0.3328  0.6570  0.6774

Computed properties:
E above lowest polymorph   0.0 meV/atom

=====

18.
Here is crystalline Pa2FeIr at its relaxed geometry from the Alexandria database. Energies are from PBE.

a b c (Å): 3.9974 4.3577 4.3577
angles (deg): 90.00 90.00 90.00
Fractional coordinates of all 4 atoms:
Pa  0.0000  0.0000  0.5000
Pa  0.0000  0.5000  0.0000
Ir  0.5000  0.0000  0.0000
Fe  0.5000  0.5000  0.5000

Computed properties:
Formation energy from the elements   -0.235 eV per atom
E above lowest polymorph   0.0 meV/atom

=====

19.
Here is crystalline GeB2Ru2 at its relaxed geometry from the Alexandria database. Energies are from PBE.

a b c (Å): 2.9736 2.9736 6.6090
angles (deg): 77.00 77.00 90.00
Fractional coordinates of all 5 atoms:
Ge  0.0000  0.0000  0.0000
Ru  0.3790  0.3790  0.2421
Ru  0.6210  0.6210  0.7579
B  0.2500  0.7500  0.5000
B  0.7500  0.2500  0.5000

Computed properties:
Formation energy from the elements   -0.253 eV per atom

=====

20.
Here is crystalline Pm3Tm3MgSe8 at its relaxed geometry from the Alexandria database. Energies are from PBE.

a b c (Å): 8.1157 8.1159 8.2331
angles (deg): 119.53 90.00 120.00
Fractional coordinates of all 15 atoms:
Tm  0.5000  0.0000  0.5000
Se  0.7473  0.9898  0.7324
Se  0.2552  0.5104  0.2656
Tm  0.0000  0.5000  0.5000
Se  0.2425  0.4851  0.7324
Se  0.7574  0.0102  0.2676
Se  0.2527  0.0102  0.2676
Tm  0.5000  0.5000  0.5000
Mg  0.0000  0.0000  0.5000
Se  0.7448  0.4896  0.7344
Pm  0.0000  0.5000  0.0000
Pm  0.5000  0.5000  0.0000
Se  0.7575  0.5149  0.2676
Pm  0.0000  0.0000  0.0000
Se  0.2426  0.9898  0.7324

Computed properties:
Total energy   -5.56 eV/atom

=====

21.
Here is crystalline Cs3Ca4F12 at its relaxed geometry from the Alexandria database. Energies are from PBE.

a b c (Å): 7.9271 7.9271 7.9271
angles (deg): 109.47 109.47 109.47
Fractional coordinates of all 19 atoms:
F  0.0009  0.2583  0.7425
F  0.2583  0.7425  0.0009
F  0.9991  0.7417  0.2575
F  0.7417  0.7425  0.4842
Ca  0.0000  0.0000  0.5000
F  0.2575  0.9991  0.7417
Ca  0.5000  0.5000  0.5000
Cs  0.5000  0.0000  0.5000
F  0.7425  0.0009  0.2583
Cs  0.5000  0.5000  0.0000
F  0.7417  0.2575  0.9991
Ca  0.0000  0.5000  0.0000
Cs  0.0000  0.5000  0.5000
Ca  0.5000  0.0000  0.0000
F  0.2575  0.5158  0.2583
F  0.4842  0.7417  0.7425
F  0.5158  0.2583  0.2575
F  0.2583  0.2575  0.5158
F  0.7425  0.4842  0.7417

Computed properties:
Total energy   -5.07 eV/atom

=====

22.
Here is crystalline Nb2ZnInPt at its relaxed geometry from the Alexandria database. Energies are from PBE.

a b c (Å): 5.0663 4.5441 5.0663
angles (deg): 90.00 90.00 90.00
Fractional coordinates of all 5 atoms:
Nb  0.0000  0.0000  0.5000
Zn  0.0000  0.5000  0.0000
Nb  0.5000  0.0000  0.0000
Pt  0.5000  0.5000  0.5000
In  0.0000  0.0000  0.0000

Computed properties:
Formation energy from the elements   1.620 eV per atom

=====

23.
Here is crystalline SnRuRh at its relaxed geometry from the Alexandria database. Energies are from PBE.

a b c (Å): 3.0595 3.0591 12.3296
angles (deg): 90.00 90.00 120.01
Fractional coordinates of all 6 atoms:
Sn  0.2776  0.5552  0.1687
Rh  0.6113  0.2225  0.3365
Sn  0.2776  0.5552  0.8313
Ru  0.2779  0.5559  0.5000
Rh  0.6113  0.2225  0.6635
Ru  0.6109  0.2218  0.0000

Computed properties:
Formation energy from the elements   0.153 eV per atom

=====

24.
Here is crystalline YSc5Zn6 at its relaxed geometry from the Alexandria database. Energies are from PBE.

a b c (Å): 4.7792 6.8169 8.2969
angles (deg): 114.26 106.74 90.00
Fractional coordinates of all 12 atoms:
Sc  0.3349  0.8349  0.6698
Zn  0.8292  0.0886  0.6584
Zn  0.1708  0.4301  0.3416
Sc  0.0000  0.5000  0.0000
Y  0.0000  0.0000  0.0000
Zn  0.1708  0.9114  0.3416
Sc  0.6683  0.6683  0.3365
Zn  0.5000  0.7314  0.0000
Sc  0.6651  0.1651  0.3302
Zn  0.8292  0.5699  0.6584
Sc  0.3317  0.3317  0.6635
Zn  0.5000  0.2686  0.0000

Computed properties:
Formation energy from the elements   -0.362 eV per atom

=====

Ρ? In order: 4.398; 4.652; 6.361; 6.512; 6.081; 5.964; 8.780; 5.346; 6.160; 8.047; 7.283; 11.669; 15.077; 6.737; 8.285; 7.171; 4.971; 15.534; 8.884; 6.871; 3.408; 7.989; 10.724; 5.015 g cm⁻³.
Spin magnetization? In order: 0.000; 0.000; 11.364; 0.000; 0.504; 0.000; 0.000; 0.000; 0.000; 0.000; 0.000; 0.000; 1.369; 0.000; 1.004; 0.000; 0.000; 0.000; 0.000; 0.000; 1.385; 0.000; 0.000; 0.000 μB/f.u..